Record 1
VASP calculation (PBE) on a geometry-optimized DyY2Ho5 structure.

Cell lengths 4.9982, 7.0784, 14.1564 Å; angles 90.00, 90.00, 90.00 degrees
Closest atoms and distances in Å follow each position.
Atoms (fractional coordinates):
Ho 0.5000 0.2502 0.3750  6 Ho 3.54, 4 Y 3.54, 2 Dy 3.54
Ho 0.5000 0.2498 0.8750  6 Ho 3.54, 4 Y 3.54, 2 Dy 3.54
Ho 0.5000 0.7502 0.1250  6 Ho 3.54, 4 Y 3.54, 2 Dy 3.54
Ho 0.5000 0.7498 0.6250  6 Ho 3.54, 4 Y 3.54, 2 Dy 3.54
Ho 0.0000 0.4998 0.7499  4 Y 3.53-3.54, 7 Ho 3.54, 1 Dy 3.54
Y 0.5000 0.2499 0.6252  10 Ho 3.53-3.54, 2 Dy 3.54
Ho 0.0000 0.0000 0.0000  6 Ho 3.54, 4 Y 3.54, 2 Dy 3.54
Y 0.5000 0.7499 0.8748  10 Ho 3.53-3.54, 2 Dy 3.54
Ho 0.0000 0.5000 0.5000  6 Ho 3.54, 4 Y 3.54, 2 Dy 3.54
Dy 0.0000 0.0000 0.5000  8 Ho 3.54, 4 Y 3.54
Dy 0.0000 0.5000 0.0000  8 Ho 3.54, 4 Y 3.54
Ho 0.0000 0.9998 0.7501  4 Y 3.53-3.54, 7 Ho 3.54, 1 Dy 3.54
Ho 0.0000 0.0002 0.2499  4 Y 3.53-3.54, 7 Ho 3.54, 1 Dy 3.54
Y 0.5000 0.7501 0.3748  10 Ho 3.53-3.54, 2 Dy 3.54
Ho 0.0000 0.5002 0.2501  4 Y 3.53-3.54, 7 Ho 3.54, 1 Dy 3.54
Y 0.5000 0.2501 0.1252  10 Ho 3.53-3.54, 2 Dy 3.54

Properties
Calculated density (Mg/m³): 7.7
Magnetic moment (μB per formula unit): 0.0
Energy above the lowest structure with this stoichiometry (meV/atom): 0.0
DFT formation energy (meV per atom): 19
D(E_F) (states/eV/atom): 1.19

=====

Record 2
VASP calculation (PBE) on a geometry-optimized Dy6Y12Ho structure.

Cell lengths 9.1333, 9.1333, 9.1333 Å; angles 106.67, 106.67, 106.67 degrees
Closest atoms and distances in Å follow each position.
Atoms (fractional coordinates):
Y 0.8255 0.2816 0.1359  3 Y 3.35-3.51, 5 Dy 3.35-3.63, 1 Ho 3.51
Y 0.1745 0.7184 0.8641  3 Y 3.35-3.51, 5 Dy 3.35-3.63, 1 Ho 3.51
Y 0.5175 0.8096 0.4222  3 Dy 3.33-3.57, 6 Y 3.35-3.51
Y 0.1359 0.8255 0.2816  3 Y 3.35-3.51, 5 Dy 3.35-3.63, 1 Ho 3.51
Y 0.8641 0.1745 0.7184  3 Y 3.35-3.51, 5 Dy 3.35-3.63, 1 Ho 3.51
Dy 0.8142 0.5485 0.9224  8 Y 3.33-3.63
Y 0.2816 0.1359 0.8255  3 Y 3.35-3.51, 5 Dy 3.35-3.63, 1 Ho 3.51
Y 0.5778 0.4825 0.1904  3 Dy 3.33-3.57, 6 Y 3.35-3.51
Y 0.7184 0.8641 0.1745  3 Y 3.35-3.51, 5 Dy 3.35-3.63, 1 Ho 3.51
Y 0.4825 0.1904 0.5778  3 Dy 3.33-3.57, 6 Y 3.35-3.51
Dy 0.1858 0.4515 0.0776  8 Y 3.33-3.63
Dy 0.5485 0.9224 0.8142  8 Y 3.33-3.63
Dy 0.9224 0.8142 0.5485  8 Y 3.33-3.63
Dy 0.0776 0.1858 0.4515  8 Y 3.33-3.63
Ho 0.0000 0.0000 0.0000  6 Y 3.51, 6 Dy 3.74
Dy 0.4515 0.0776 0.1858  8 Y 3.33-3.63
Y 0.1904 0.5778 0.4825  3 Dy 3.33-3.57, 6 Y 3.35-3.51
Y 0.4222 0.5175 0.8096  3 Dy 3.33-3.57, 6 Y 3.35-3.51
Y 0.8096 0.4222 0.5175  3 Dy 3.33-3.57, 6 Y 3.35-3.51

Properties
Calculated density (Mg/m³): 5.7
Magnetic moment (μB per formula unit): 0.0
Energy above the lowest structure with this stoichiometry (meV/atom): 105.5
DFT formation energy (meV per atom): 257
D(E_F) (states/eV/atom): 1.72

=====

Record 3
VASP calculation (PBE) on a geometry-optimized DyY8Ho6 structure.

Cell lengths 6.5744, 9.3649, 9.3649 Å; angles 120.00, 90.00, 90.00 degrees
Closest atoms and distances in Å follow each position.
Atoms (fractional coordinates):
Y 0.8965 0.6903 0.6642  4 Ho 3.19-3.57, 4 Y 3.32-3.52
Y 0.1774 0.6667 0.3333  6 Y 3.39-3.52, 3 Ho 3.62
Ho 0.4054 0.3218 0.9131  1 Ho 3.15, 3 Y 3.19-3.49
Ho 0.4054 0.5913 0.6782  1 Ho 3.15, 3 Y 3.19-3.49
Dy 0.5000 0.0000 0.0000  6 Ho 3.55
Ho 0.4054 0.0869 0.4087  1 Ho 3.15, 3 Y 3.19-3.49
Y 0.8226 0.3333 0.6667  6 Y 3.39-3.52, 3 Ho 3.62
Y 0.8965 0.9739 0.3097  4 Ho 3.19-3.57, 4 Y 3.32-3.52
Ho 0.5946 0.6782 0.0869  1 Ho 3.15, 3 Y 3.19-3.49
Y 0.1035 0.0261 0.6903  4 Ho 3.19-3.57, 4 Y 3.32-3.52
Y 0.1035 0.6642 0.9739  4 Ho 3.19-3.57, 4 Y 3.32-3.52
Ho 0.5946 0.9131 0.5913  1 Ho 3.15, 3 Y 3.19-3.49
Y 0.8965 0.3358 0.0261  4 Ho 3.19-3.57, 4 Y 3.32-3.52
Y 0.1035 0.3097 0.3358  4 Ho 3.19-3.57, 4 Y 3.32-3.52
Ho 0.5946 0.4087 0.3218  1 Ho 3.15, 3 Y 3.19-3.49

Properties
Calculated density (Mg/m³): 6.2
Magnetic moment (μB per formula unit): 0.0
Energy above the lowest structure with this stoichiometry (meV/atom): 116.3
DFT formation energy (meV per atom): 248
D(E_F) (states/eV/atom): 1.55

=====

Record 4
VASP calculation (PBE) on a geometry-optimized Dy3Y6Ho structure.

Cell lengths 6.2490, 10.9447, 10.9447 Å; angles 119.80, 90.00, 90.00 degrees
Closest atoms and distances in Å follow each position.
Atoms (fractional coordinates):
Dy 0.4542 0.9391 0.7191  1 Ho 3.23, 6 Y 3.28-3.60
Y 0.1524 0.7207 0.2793  4 Y 3.26-3.36, 1 Dy 3.35, 2 Ho 3.40-3.44
Y 0.8597 0.9535 0.5358  5 Y 3.26-3.49, 2 Dy 3.28-3.57, 2 Ho 3.34-3.40
Y 0.6524 0.2793 0.7207  4 Y 3.26-3.36, 1 Dy 3.35, 2 Ho 3.40-3.44
Y 0.3597 0.0465 0.4642  5 Y 3.26-3.49, 2 Dy 3.28-3.57, 2 Ho 3.34-3.40
Y 0.0390 0.7097 0.6189  4 Dy 3.39-3.65, 5 Y 3.41-3.78
Y 0.4073 0.9527 0.0473  1 Ho 3.35, 4 Dy 3.53-3.60, 2 Y 3.60
Y 0.9073 0.0473 0.9527  1 Ho 3.35, 4 Dy 3.53-3.60, 2 Y 3.60
Ho 0.1487 0.2055 0.7945  3 Dy 3.23-3.51, 7 Y 3.34-3.44
Dy 0.4542 0.2809 0.0609  1 Ho 3.23, 6 Y 3.28-3.60
Y 0.0390 0.3811 0.2903  4 Dy 3.39-3.65, 5 Y 3.41-3.78
Y 0.5390 0.6189 0.7097  4 Dy 3.39-3.65, 5 Y 3.41-3.78
Dy 0.9542 0.7191 0.9391  1 Ho 3.23, 6 Y 3.28-3.60
Dy 0.5711 0.6107 0.3893  7 Y 3.35-3.73, 1 Ho 3.51, 2 Dy 3.69
Y 0.8597 0.4642 0.0465  5 Y 3.26-3.49, 2 Dy 3.28-3.57, 2 Ho 3.34-3.40
Y 0.3597 0.5358 0.9535  5 Y 3.26-3.49, 2 Dy 3.28-3.57, 2 Ho 3.34-3.40
Dy 0.0711 0.3893 0.6107  7 Y 3.35-3.73, 1 Ho 3.51, 2 Dy 3.69
Y 0.5390 0.2903 0.3811  4 Dy 3.39-3.65, 5 Y 3.41-3.78
Dy 0.9542 0.0609 0.2809  1 Ho 3.23, 6 Y 3.28-3.60
Ho 0.6487 0.7945 0.2055  3 Dy 3.23-3.51, 7 Y 3.34-3.44

Properties
Calculated density (Mg/m³): 6.1
Magnetic moment (μB per formula unit): 0.0
Energy above the lowest structure with this stoichiometry (meV/atom): 29.1
DFT formation energy (meV per atom): 145
D(E_F) (states/eV/atom): 1.53

=====

Record 5
VASP calculation (PBE) on a geometry-optimized Dy3YHo5 structure.

Cell lengths 8.6950, 9.2728, 11.0053 Å; angles 126.42, 90.00, 117.96 degrees
Closest atoms and distances in Å follow each position.
Atoms (fractional coordinates):
Ho 0.4756 0.1926 0.0760  4 Ho 3.05-3.17, 1 Y 3.23
Ho 0.1015 0.6379 0.8033  2 Ho 3.05-3.14, 1 Dy 3.30
Dy 0.8132 0.5632 0.0309  7 Ho 3.53-3.80, 2 Y 3.63-3.69, 3 Dy 3.82-3.87
Dy 0.0000 0.0000 0.0000  6 Ho 3.30-3.51
Ho 0.5244 0.8074 0.9240  4 Ho 3.05-3.17, 1 Y 3.23
Y 0.3278 0.0000 0.2500  2 Ho 3.23
Dy 0.2500 0.4368 0.4691  7 Ho 3.53-3.80, 2 Y 3.63-3.69, 3 Dy 3.82-3.87
Ho 0.8985 0.3621 0.1967  2 Ho 3.05-3.14, 1 Dy 3.30
Ho 0.5364 0.6379 0.3033  2 Ho 3.05-3.14, 1 Dy 3.30
Y 0.6722 0.0000 0.7500  2 Ho 3.23
Dy 0.1868 0.4368 0.9691  7 Ho 3.53-3.80, 2 Y 3.63-3.69, 3 Dy 3.82-3.87
Ho 0.7636 0.0000 0.2500  4 Ho 3.05-3.41
Ho 0.4636 0.3621 0.6967  2 Ho 3.05-3.14, 1 Dy 3.30
Dy 0.7500 0.5632 0.5309  7 Ho 3.53-3.80, 2 Y 3.63-3.69, 3 Dy 3.82-3.87
Dy 0.0000 0.0000 0.5000  6 Ho 3.30-3.51
Ho 0.2364 0.0000 0.7500  4 Ho 3.05-3.41
Ho 0.2830 0.8074 0.4240  4 Ho 3.05-3.17, 1 Y 3.23
Ho 0.7170 0.1926 0.5760  4 Ho 3.05-3.17, 1 Y 3.23

Properties
Calculated density (Mg/m³): 8.0
Magnetic moment (μB per formula unit): 0.0
Energy above the lowest structure with this stoichiometry (meV/atom): 0.0
DFT formation energy (meV per atom): 230
D(E_F) (states/eV/atom): 1.71

=====

Record 6
VASP calculation (PBE) on a geometry-optimized Dy2Y5Ho5 structure.

Cell lengths 5.0146, 7.9299, 11.2164 Å; angles 115.09, 90.00, 108.43 degrees
Closest atoms and distances in Å follow each position.
Atoms (fractional coordinates):
Ho 0.3329 0.6658 0.0000  5 Y 3.53-3.55, 4 Ho 3.54-3.56, 3 Dy 3.54
Y 0.8344 0.6687 0.5006  2 Dy 3.54-3.55, 5 Ho 3.54-3.57, 5 Y 3.56
Ho 0.5000 0.0000 0.5000  6 Y 3.54-3.55, 2 Ho 3.54, 4 Dy 3.55
Y 0.1656 0.3313 0.4994  2 Dy 3.54-3.55, 5 Ho 3.54-3.57, 5 Y 3.56
Dy 0.0833 0.1666 0.7509  7 Ho 3.53-3.55, 5 Y 3.54-3.55
Y 0.7499 0.4999 0.7509  6 Ho 3.53-3.56, 4 Y 3.54-3.56, 2 Dy 3.55
Dy 0.9167 0.8334 0.2491  7 Ho 3.53-3.55, 5 Y 3.54-3.55
Ho 0.5824 0.1649 0.2497  2 Dy 3.53, 3 Ho 3.54-3.56, 7 Y 3.54-3.57
Y 0.0000 0.0000 0.0000  2 Dy 3.54, 8 Ho 3.54-3.55, 2 Y 3.54
Ho 0.4176 0.8351 0.7503  2 Dy 3.53, 3 Ho 3.54-3.56, 7 Y 3.54-3.57
Y 0.2501 0.5001 0.2491  6 Ho 3.53-3.56, 4 Y 3.54-3.56, 2 Dy 3.55
Ho 0.6671 0.3342 0.0000  5 Y 3.53-3.55, 4 Ho 3.54-3.56, 3 Dy 3.54

Properties
Calculated density (Mg/m³): 7.0
Magnetic moment (μB per formula unit): 0.0
Energy above the lowest structure with this stoichiometry (meV/atom): 0.0
DFT formation energy (meV per atom): 22
D(E_F) (states/eV/atom): 1.36

=====

Record 7
VASP calculation (PBE) on a geometry-optimized DyY2Ho structure.

Cell lengths 3.5525, 3.5525, 10.0524 Å; angles 90.00, 90.00, 90.00 degrees
Closest atoms and distances in Å follow each position.
Atoms (fractional coordinates):
Y 0.0000 0.0000 0.2495  4 Ho 3.55, 4 Y 3.55, 4 Dy 3.56
Ho 0.5000 0.5000 0.0000  8 Y 3.55, 4 Ho 3.55
Y 0.0000 0.0000 0.7505  4 Ho 3.55, 4 Y 3.55, 4 Dy 3.56
Dy 0.5000 0.5000 0.5000  4 Dy 3.55, 8 Y 3.56

Properties
Calculated density (Mg/m³): 6.6
Magnetic moment (μB per formula unit): 0.0
Energy above the lowest structure with this stoichiometry (meV/atom): 19.1
DFT formation energy (meV per atom): 24
D(E_F) (states/eV/atom): 1.30

=====

Record 8
VASP calculation (PBE) on a geometry-optimized Dy7Y12Ho structure.

Cell lengths 6.7130, 10.9691, 10.9691 Å; angles 64.05, 78.23, 101.77 degrees
Closest atoms and distances in Å follow each position.
Atoms (fractional coordinates):
Dy 0.9342 0.1369 0.6981  1 Ho 3.15, 4 Y 3.17-3.51, 1 Dy 3.41
Ho 0.0000 0.0000 0.0000  8 Dy 3.15-3.36
Y 0.2678 0.5224 0.9324  2 Dy 3.17-3.32, 5 Y 3.21-3.51
Y 0.5029 0.2102 0.5789  4 Y 3.21-3.51, 3 Dy 3.40-3.57
Y 0.2002 0.9324 0.5452  2 Dy 3.17-3.32, 5 Y 3.21-3.51
Dy 0.6323 0.6981 0.1650  1 Ho 3.15, 4 Y 3.17-3.51, 1 Dy 3.41
Dy 0.5000 0.0000 0.0000  2 Ho 3.36, 6 Dy 3.41
Dy 0.0658 0.8631 0.3019  1 Ho 3.15, 4 Y 3.17-3.51, 1 Dy 3.41
Y 0.9182 0.4211 0.7891  4 Y 3.21-3.51, 3 Dy 3.40-3.57
Y 0.2927 0.2109 0.2102  4 Y 3.21-3.51, 3 Dy 3.40-3.57
Y 0.0818 0.5789 0.2109  4 Y 3.21-3.51, 3 Dy 3.40-3.57
Y 0.7322 0.4776 0.0676  2 Dy 3.17-3.32, 5 Y 3.21-3.51
Y 0.4971 0.7898 0.4211  4 Y 3.21-3.51, 3 Dy 3.40-3.57
Dy 0.3677 0.3019 0.8350  1 Ho 3.15, 4 Y 3.17-3.51, 1 Dy 3.41
Y 0.7073 0.7891 0.7898  4 Y 3.21-3.51, 3 Dy 3.40-3.57
Y 0.2546 0.4548 0.4776  2 Dy 3.17-3.32, 5 Y 3.21-3.51
Dy 0.2027 0.8350 0.8631  1 Ho 3.15, 4 Y 3.17-3.51, 1 Dy 3.41
Y 0.7454 0.5452 0.5224  2 Dy 3.17-3.32, 5 Y 3.21-3.51
Y 0.7998 0.0676 0.4548  2 Dy 3.17-3.32, 5 Y 3.21-3.51
Dy 0.7973 0.1650 0.1369  1 Ho 3.15, 4 Y 3.17-3.51, 1 Dy 3.41

Properties
Calculated density (Mg/m³): 5.9
Magnetic moment (μB per formula unit): 0.0
Energy above the lowest structure with this stoichiometry (meV/atom): 49.6
DFT formation energy (meV per atom): 332
D(E_F) (states/eV/atom): 1.48

=====

Record 9
VASP calculation (PBE) on a geometry-optimized Dy7Y2Ho4 structure.

Cell lengths 9.3787, 14.5849, 6.1304 Å; angles 82.04, 96.07, 150.58 degrees
Closest atoms and distances in Å follow each position.
Atoms (fractional coordinates):
Ho 0.0759 0.9227 0.5369  3 Ho 3.53, 8 Dy 3.53-3.55, 1 Y 3.55
Dy 0.8480 0.1547 0.9235  3 Ho 3.53-3.55, 7 Dy 3.53-3.56, 2 Y 3.54-3.55
Y 0.3079 0.6924 0.1553  7 Dy 3.53-3.55, 4 Ho 3.54-3.55, 1 Y 3.56
Dy 0.1520 0.8453 0.0765  3 Ho 3.53-3.55, 7 Dy 3.53-3.56, 2 Y 3.54-3.55
Dy 0.7684 0.2295 0.3847  5 Dy 3.51-3.55, 3 Y 3.53-3.55, 4 Ho 3.54-3.56
Ho 0.3864 0.6160 0.6925  2 Ho 3.53, 7 Dy 3.53-3.56, 3 Y 3.54-3.55
Dy 0.0000 0.0000 0.0000  6 Ho 3.53-3.54, 4 Dy 3.54, 2 Y 3.54
Y 0.6921 0.3076 0.8447  7 Dy 3.53-3.55, 4 Ho 3.54-3.55, 1 Y 3.56
Dy 0.4611 0.5379 0.2309  5 Ho 3.53-3.54, 6 Dy 3.53-3.54, 1 Y 3.55
Ho 0.9241 0.0773 0.4631  3 Ho 3.53, 8 Dy 3.53-3.55, 1 Y 3.55
Ho 0.6136 0.3840 0.3075  2 Ho 3.53, 7 Dy 3.53-3.56, 3 Y 3.54-3.55
Dy 0.5389 0.4621 0.7691  5 Ho 3.53-3.54, 6 Dy 3.53-3.54, 1 Y 3.55
Dy 0.2316 0.7705 0.6153  5 Dy 3.51-3.55, 3 Y 3.53-3.55, 4 Ho 3.54-3.56

Properties
Calculated density (Mg/m³): 8.0
Magnetic moment (μB per formula unit): 0.0
DFT formation energy (meV per atom): 16
D(E_F) (states/eV/atom): 1.21